Entry 1:
Density functional theory data (PBE) for a relaxed structure of Cs2Cu2PdBr6.

Lattice parameters (Å, degrees): 8.396 8.396 6.675 99.01 99.01 51.96
Element x y z (fractional)
Cs1 0.200 0.200 0.222
Cs2 0.800 0.800 0.778
Cu1 0.474 0.474 0.775
Cu2 0.526 0.526 0.225
Pd1 0.000 0.000 0.500
Br1 0.171 0.696 0.250
Br2 0.304 0.829 0.750
Br3 0.318 0.318 0.759
Br4 0.682 0.682 0.241
Br5 0.696 0.171 0.250
Br6 0.829 0.304 0.750

Summary:
Its formation energy (no corrections) is -0.86 eV per atom. Its total DFT energy (no corrections) is -3.144 eV/atom.

Entry 2:
Density functional theory data (PBE) for a relaxed structure of CsCuPdBr6.

Lattice parameters (Å, degrees): 6.759 6.768 7.180 100.73 101.16 103.07
Element x y z (fractional)
Cs1 0.000 0.000 0.000
Cu1 0.190 0.804 0.501
Pd1 0.535 0.464 0.500
Br1 0.247 0.174 0.571
Br2 0.265 0.547 0.249
Br3 0.451 0.730 0.752
Br4 0.588 0.195 0.242
Br5 0.808 0.413 0.759
Br6 0.822 0.756 0.429

Summary:
The value obtained for the density of states at the Fermi level is 2.9 states/eV per cell. Its formation energy (no corrections) is -0.60 eV per atom. Its total DFT energy (no corrections) is -2.843 eV/atom.

Entry 3:
Density functional theory data (PBE) for a relaxed structure of CsPm2CuBr8.

Lattice parameters (Å, degrees): 7.586 8.733 9.110 106.30 109.02 91.81
Element x y z (fractional)
Cs1 0.000 0.000 0.000
Pm1 0.039 0.264 0.534
Pm2 0.961 0.736 0.466
Cu1 0.000 0.500 0.000
Br1 0.170 0.698 0.228
Br2 0.198 0.601 0.708
Br3 0.216 0.027 0.692
Br4 0.310 0.235 0.395
Br5 0.690 0.765 0.605
Br6 0.784 0.973 0.308
Br7 0.802 0.399 0.292
Br8 0.830 0.302 0.772

Summary:
The value obtained for the density of states at the Fermi level is 0.0 states/eV per cell. Its formation energy (no corrections) is -1.56 eV per atom. Its total DFT energy (no corrections) is -3.880 eV/atom.

Entry 4:
Density functional theory data (PBE) for a relaxed structure of CsPrCuBr6.

Lattice parameters (Å, degrees): 7.002 7.160 8.115 92.62 96.25 112.60
Element x y z (fractional)
Cs1 0.000 0.000 0.000
Pr1 0.381 0.661 0.510
Cu1 0.754 0.335 0.460
Br1 0.029 0.585 0.258
Br2 0.055 0.311 0.636
Br3 0.438 0.935 0.789
Br4 0.468 0.373 0.279
Br5 0.653 0.984 0.325
Br6 0.706 0.549 0.689

Summary:
The value obtained for the density of states at the Fermi level is 0.0 states/eV per cell. Its formation energy (no corrections) is -1.32 eV per atom. Its total DFT energy (no corrections) is -3.517 eV/atom.

Question: Which of these has the highest formation energy (no corrections)?
Answer: CsCuPdBr6